1.
# DyThCO, relaxed, DFT PBE
data_DyThCO
_chemical_formula_sum 'Dy3 Th3 C3 O3'
_cell_length_a 3.6382
_cell_length_b 3.6382
_cell_length_c 17.5049
_cell_angle_alpha 90.00
_cell_angle_beta 90.00
_cell_angle_gamma 120.00
_space_group_name_H-M_alt 'R 3 m'
_space_group_IT_number 160
_space_group_name_Hall 'R 3 -2"'
loop_
_atom_site_label
_atom_site_type_symbol
_atom_site_fract_x
_atom_site_fract_y
_atom_site_fract_z
Dy1 Dy 0.0000 0.0000 0.0000
Th1 Th 0.0000 0.0000 0.5040
C1 C 0.0000 0.0000 0.2526
O1 O 0.0000 0.0000 0.7491
# Crystal system: trigonal
# Formation energy (no corrections) (meV per atom): -1653

=====

2.
# DyTlC2O6, relaxed, DFT PBE
data_DyTlC2O6
_chemical_formula_sum 'Dy4 Tl4 C8 O24'
_cell_length_a 8.822
_cell_length_b 9.446
_cell_length_c 7.216
_cell_angle_alpha 90.00
_cell_angle_beta 111.27
_cell_angle_gamma 90.00
_space_group_name_H-M_alt 'C 1 2/c 1'
_space_group_IT_number 15
_space_group_name_Hall '-C 2yc'
loop_
_atom_site_label
_atom_site_type_symbol
_atom_site_fract_x
_atom_site_fract_y
_atom_site_fract_z
Dy1 Dy 0.000 0.095 0.250
Tl1 Tl 0.000 0.394 0.750
C1 C 0.226 0.126 0.743
O1 O 0.082 0.119 0.598
O2 O 0.174 0.274 0.246
O3 O 0.245 0.473 0.124
# Crystal system: monoclinic
# Formation energy (no corrections) (meV per atom): -1940

=====

3.
# DyTl2C2O6, relaxed, DFT PBE
data_DyTl2C2O6
_chemical_formula_sum 'Dy2 Tl4 C4 O12'
_cell_length_a 9.363
_cell_length_b 5.359
_cell_length_c 8.260
_cell_angle_alpha 90.00
_cell_angle_beta 113.24
_cell_angle_gamma 90.00
_space_group_name_H-M_alt 'C 1 2/m 1'
_space_group_IT_number 12
_space_group_name_Hall '-C 2y'
loop_
_atom_site_label
_atom_site_type_symbol
_atom_site_fract_x
_atom_site_fract_y
_atom_site_fract_z
Dy1 Dy 0.000 0.000 0.000
Tl1 Tl 0.178 0.000 0.537
C1 C 0.107 0.500 0.826
O1 O 0.037 0.291 0.824
O2 O 0.245 0.500 0.824
# Crystal system: monoclinic
# Formation energy (no corrections) (meV per atom): -1669

=====

4.
# DyOsC2, relaxed, DFT PBE
data_DyOsC2
_chemical_formula_sum 'Dy3 Os3 C6'
_cell_length_a 3.3040
_cell_length_b 3.3040
_cell_length_c 15.6963
_cell_angle_alpha 90.00
_cell_angle_beta 90.00
_cell_angle_gamma 120.00
_space_group_name_H-M_alt 'R -3 m'
_space_group_IT_number 166
_space_group_name_Hall '-R 3 2"'
loop_
_atom_site_label
_atom_site_type_symbol
_atom_site_fract_x
_atom_site_fract_y
_atom_site_fract_z
Dy1 Dy 0.0000 0.0000 0.0000
Os1 Os 0.0000 0.0000 0.5000
C1 C 0.0000 0.0000 0.2335
# Energy of formation (eV per formula unit): 0.92
# Crystal system: trigonal

=====

5.
# DyOsC, relaxed, DFT PBE
data_DyOsC
_chemical_formula_sum 'Dy1 Os1 C1'
_cell_length_a 3.3754
_cell_length_b 3.3754
_cell_length_c 4.7953
_cell_angle_alpha 90.00
_cell_angle_beta 90.00
_cell_angle_gamma 120.00
_space_group_name_H-M_alt 'P 3 m 1'
_space_group_IT_number 156
_space_group_name_Hall 'P 3 -2"'
loop_
_atom_site_label
_atom_site_type_symbol
_atom_site_fract_x
_atom_site_fract_y
_atom_site_fract_z
Dy1 Dy 0.0000 0.0000 0.0000
Os1 Os 0.6667 0.3333 0.5245
C1 C 0.3333 0.6667 0.6597
# Energy of formation (eV per formula unit): -0.08
# Crystal system: trigonal

=====

6.
# DyOsC, relaxed, DFT PBE
data_DyOsC
_chemical_formula_sum 'Dy4 Os4 C4'
_cell_length_a 9.225
_cell_length_b 3.379
_cell_length_c 6.535
_cell_angle_alpha 90.00
_cell_angle_beta 90.00
_cell_angle_gamma 90.00
_space_group_name_H-M_alt 'P n m a'
_space_group_IT_number 62
_space_group_name_Hall '-P 2ac 2n'
loop_
_atom_site_label
_atom_site_type_symbol
_atom_site_fract_x
_atom_site_fract_y
_atom_site_fract_z
Dy1 Dy 0.183 0.250 0.006
Os1 Os 0.014 0.750 0.347
C1 C 0.131 0.250 0.395
# Energy of formation (eV per formula unit): -0.19
# Crystal system: orthorhombic

=====

7.
# DyPu2OsC4, relaxed, DFT PBE
data_DyPu2OsC4
_chemical_formula_sum 'Dy4 Pu8 Os4 C16'
_cell_length_a 3.512
_cell_length_b 11.458
_cell_length_c 12.104
_cell_angle_alpha 90.00
_cell_angle_beta 90.00
_cell_angle_gamma 90.00
_space_group_name_H-M_alt 'C m c m'
_space_group_IT_number 63
_space_group_name_Hall '-C 2c 2'
loop_
_atom_site_label
_atom_site_type_symbol
_atom_site_fract_x
_atom_site_fract_y
_atom_site_fract_z
Dy1 Dy 0.000 0.110 0.250
Pu1 Pu 0.000 0.369 0.040
Os1 Os 0.000 0.153 0.750
C1 C 0.000 0.000 0.000
C2 C 0.000 0.260 0.627
C3 C 0.000 0.437 0.250
# Energy of formation (eV per formula unit): 0.79
# Crystal system: orthorhombic

=====

8.
# Sm2DyOsC2, relaxed, DFT PBE
data_Sm2DyOsC2
_chemical_formula_sum 'Sm4 Dy2 Os2 C4'
_cell_length_a 5.645
_cell_length_b 11.181
_cell_length_c 3.795
_cell_angle_alpha 90.00
_cell_angle_beta 90.00
_cell_angle_gamma 90.00
_space_group_name_H-M_alt 'P n n m'
_space_group_IT_number 58
_space_group_name_Hall '-P 2 2n'
loop_
_atom_site_label
_atom_site_type_symbol
_atom_site_fract_x
_atom_site_fract_y
_atom_site_fract_z
Sm1 Sm 0.049 0.208 0.000
Dy1 Dy 0.000 0.500 0.500
Os1 Os 0.000 0.000 0.500
C1 C 0.228 0.611 0.000
# Energy of formation (eV per formula unit): -0.70
# Crystal system: orthorhombic